Entry from Alexandria: Sc3SbS at its PBEsol-relaxed geometry (SCAN).

```
Sc3SbS
1.0
4.750 0.000 0.000
0.000 4.750 0.000
0.000 0.000 4.750
Sc Sb S
3 1 1
direct
0.000 0.000 0.500 Sc
0.000 0.500 0.000 Sc
0.500 0.000 0.000 Sc
0.500 0.500 0.500 Sb
0.000 0.000 0.000 S
```

Computed properties:
As for the calculated total energy: -94.45 eV/f.u. Its space-group type is No. 221. The calculation puts the formation energy from raw total energies at -0.97 eV/atom. The value obtained for the volume is 107.2 Å³/cell.